Entry from Alexandria via LeMat-Bulk: a geometry-optimized BaAgHg structure (PBE-GGA).

The value obtained for the formation energy is -0.29 eV per atom. For the electronic total energy, the calculation gives -1.979 eV per atom.

The space group is I4mm (No. 107) and the conventional cell measures 4.061, 4.061 and 11.049 Å, with angles of 90.00, 90.00 and 90.00 degrees. The inequivalent atoms are Ba at (0.000, 0.000, 0.000), Ag at (0.000, 0.000, 0.689) and Hg at (0.000, 0.000, 0.312).

---

Entry from Alexandria via LeMat-Bulk: a geometry-optimized BaAgHg2 structure (PBE-GGA).

The value obtained for the formation energy is -0.31 eV per atom. For the electronic total energy, the calculation gives -1.659 eV per atom.

The space group is C2/m (No. 12) and the conventional cell measures 8.689, 5.078 and 6.209 Å, with angles of 90.00, 118.78 and 90.00 degrees. The inequivalent atoms are Ba at (0.000, 0.000, 0.000), Ag at (0.000, 0.500, 0.500) and Hg at (0.216, 0.000, 0.647).

---

Entry from Alexandria via LeMat-Bulk: a geometry-optimized Ba2Ag3Hg5 structure (PBE-GGA).

The value obtained for the formation energy is -0.27 eV per atom. For the electronic total energy, the calculation gives -1.659 eV per atom.

The space group is P-4m2 (No. 115) and the conventional cell measures 4.760, 4.760 and 12.600 Å, with angles of 90.00, 90.00 and 90.00 degrees. The inequivalent atoms are Ba at (0.000, 0.500, 0.236), Ag at (0.000, 0.000, 0.000), Ag at (0.000, 0.500, 0.874), Hg at (0.000, 0.000, 0.500), Hg at (0.000, 0.500, 0.651), Hg at (0.500, 0.500, 0.000) and Hg at (0.500, 0.500, 0.500).

---

Entry from Alexandria via LeMat-Bulk: a geometry-optimized Ba3Ag2Hg4 structure (PBE-GGA).

The value obtained for the formation energy is -0.43 eV per atom. For the electronic total energy, the calculation gives -1.837 eV per atom.

The space group is C2/m (No. 12) and the conventional cell measures 12.427, 5.101 and 9.777 Å, with angles of 90.00, 109.58 and 90.00 degrees. The inequivalent atoms are Ba at (0.000, 0.000, 0.000), Ba at (0.167, 0.500, 0.664), Ag at (0.108, 0.500, 0.278), Hg at (0.055, 0.000, 0.383) and Hg at (0.220, 0.500, 0.062).

---

Entry from Alexandria via LeMat-Bulk: a geometry-optimized Ba2Ag2Hg structure (PBE-GGA).

The value obtained for the formation energy is -0.31 eV per atom. For the electronic total energy, the calculation gives -2.277 eV per atom.

The space group is P4/mbm (No. 127) and the conventional cell measures 8.577, 8.577 and 4.598 Å, with angles of 90.00, 90.00 and 90.00 degrees. The inequivalent atoms are Ba at (0.182, 0.318, 0.000), Ag at (0.116, 0.616, 0.500) and Hg at (0.000, 0.000, 0.500).

---

Entry from Alexandria via LeMat-Bulk: a geometry-optimized Ba8AgHg2 structure (PBE-GGA).

The value obtained for the formation energy is -0.21 eV per atom. For the electronic total energy, the calculation gives -1.923 eV per atom.

The space group is C2/m (No. 12) and the conventional cell measures 21.478, 5.941 and 8.282 Å, with angles of 90.00, 105.82 and 90.00 degrees. The inequivalent atoms are Ba at (0.035, 0.000, 0.299), Ba at (0.093, 0.500, 0.939), Ba at (0.166, 0.500, 0.470), Ba at (0.208, 0.000, 0.821), Ag at (0.000, 0.500, 0.500) and Hg at (0.186, 0.000, 0.219).